Compound: Pr2SiNi4Ge3
Source: the Alexandria database
Functional: PBE-GGA
Structure: relaxed Values from VASP.

* calculated volume: 16.743 Å³/atom
* uncorrected formation energy: -0.7072 eV/atom

Geometry as Quantum ESPRESSO input:
```
&SYSTEM
  ibrav = 0, nat = 10, ntyp = 4
/
ATOMIC_SPECIES
Pr 140.91 Pr.upf
Si 28.09 Si.upf
Ni 58.69 Ni.upf
Ge 72.64 Ge.upf
CELL_PARAMETERS angstrom
4.1531 0.0000 0.0000
0.0000 4.1531 0.0000
0.0000 0.0000 9.7066
ATOMIC_POSITIONS crystal
Pr 0.0000 0.5000 0.2486
Pr 0.5000 0.0000 0.7514
Si 0.5000 0.5000 0.0000
Ni 0.0000 0.0000 0.5000
Ni 0.0000 0.5000 0.8804
Ni 0.5000 0.0000 0.1196
Ni 0.5000 0.5000 0.5000
Ge 0.0000 0.0000 0.0000
Ge 0.0000 0.5000 0.6284
Ge 0.5000 0.0000 0.3716
```

Compound: Pr2SiNi6Ge
Source: the Alexandria database
Functional: PBE-GGA
Structure: relaxed Values from VASP.

* calculated volume: 17.315 Å³/atom
* uncorrected formation energy: -0.1949 eV/atom

Geometry as Quantum ESPRESSO input:
```
&SYSTEM
  ibrav = 0, nat = 10, ntyp = 4
/
ATOMIC_SPECIES
Pr 140.91 Pr.upf
Si 28.09 Si.upf
Ni 58.69 Ni.upf
Ge 72.64 Ge.upf
CELL_PARAMETERS angstrom
6.2365 0.0000 0.0000
3.1114 5.4180 0.0000
3.1137 1.7935 5.1244
ATOMIC_POSITIONS crystal
Pr 0.2498 0.2502 0.2501
Pr 0.7502 0.7498 0.7499
Si 0.0000 0.0000 0.0000
Ni 0.2443 0.7550 0.7554
Ni 0.2455 0.2441 0.7550
Ni 0.2445 0.7548 0.2450
Ni 0.7555 0.2452 0.7550
Ni 0.7545 0.7559 0.2450
Ni 0.7557 0.2450 0.2446
Ge 0.5000 0.5000 0.5000
```

Compound: Pr2SmNi2Ge2
Source: the Alexandria database
Functional: PBE-GGA
Structure: relaxed Values from VASP.

* formation energy: -598 meV per atom
* calculated volume: 24.066 Å³/atom

Geometry as Quantum ESPRESSO input:
```
&SYSTEM
  ibrav = 0, nat = 7, ntyp = 4
/
ATOMIC_SPECIES
Pr 140.91 Pr.upf
Sm 150.36 Sm.upf
Ni 58.69 Ni.upf
Ge 72.64 Ge.upf
CELL_PARAMETERS angstrom
2.1111 1.2189 10.9117
-2.1111 1.2189 10.9117
0.0000 -2.4377 10.9117
ATOMIC_POSITIONS crystal
Pr 0.1143 0.1143 0.1143
Pr 0.8857 0.8857 0.8857
Sm 0.0000 0.0000 0.0000
Ni 0.3906 0.3906 0.3906
Ni 0.6094 0.6094 0.6094
Ge 0.2732 0.2732 0.2732
Ge 0.7268 0.7268 0.7268
```